! Na3LiMnBPO7 PBEsol optimized geometry; values from VASP
&SYSTEM
  ibrav = 0, nat = 28, ntyp = 6
/
ATOMIC_SPECIES
Na 22.99 Na.upf
Li 6.94 Li.upf
Mn 54.94 Mn.upf
B 10.81 B.upf
P 30.97 P.upf
O 16.00 O.upf
ATOMIC_POSITIONS angstrom
Na 0.776 0.009 2.739
Na 0.776 3.229 2.739
Na 0.778 4.858 5.464
Na 3.445 1.619 4.502
Na 3.447 3.248 7.228
Na 3.447 6.468 7.228
Li 0.000 0.000 0.000
Li 0.000 3.238 0.000
Mn 0.974 1.619 8.105
Mn 3.249 4.858 1.861
B 0.905 1.619 5.620
B 3.318 4.858 4.347
P 1.026 4.858 9.156
P 3.197 1.619 0.811
O -0.257 1.619 6.382
O 0.419 3.605 8.453
O 0.419 6.111 8.453
O 0.914 1.619 4.258
O 1.311 4.858 0.653
O 1.659 1.619 0.822
O 2.144 4.858 3.586
O 2.079 1.619 6.381
O 2.564 4.858 9.144
O 2.913 1.619 9.313
O 3.309 4.858 5.708
O 3.805 0.366 1.513
O 3.805 2.872 1.513
O 4.480 4.858 3.585
CELL_PARAMETERS angstrom
5.092 0.000 0.000
0.000 6.477 0.000
-0.869 0.000 9.967
! - Symmetry: No. 11
! - Total magnetic moment: 0.36 μB/atom
! - Formation energy (no corrections): -28.46 eV/f.u.
! - Crystal system: monoclinic